# 1
Material: Pm7PrNd2
Method: DFT, PBE
State: optimized geometry

Computed properties:
DFT formation energy ... 0.626 eV per atom
Electronic total energy ... -41.308 eV for the cell shown

Cell and atoms, written as POSCAR:
```
Pm7PrNd2
1.0
-5.2751 1.5796 -1.1136
0.9842 -2.9409 -8.8334
-3.1012 -5.4623 6.9422
Pm Pr Nd
7 1 2
direct
0.0000 0.7746 0.2254
0.0000 0.2254 0.7746
0.5000 0.0660 0.2941
0.5000 0.9340 0.7059
0.5000 0.2941 0.0660
0.5000 0.7059 0.9340
0.5000 0.5000 0.5000
0.0000 0.0000 0.0000
0.5000 0.7031 0.2969
0.5000 0.2969 0.7031
```

=====

# 2
Material: NpVB
Method: DFT, PBE
State: optimized geometry

Computed properties:
DFT formation energy ... 0.620 eV per atom
Electronic total energy ... -53.752 eV for the cell shown

Cell and atoms, written as POSCAR:
```
NpVB
1.0
4.6530 0.0000 0.0000
0.0000 2.5291 0.0000
-2.3265 -1.2646 6.9455
B Np V
2 2 2
direct
0.6550 0.1550 0.3100
0.3450 0.8450 0.6900
0.2512 0.5000 0.0000
0.7488 0.5000 0.0000
0.1904 0.6904 0.3808
0.8096 0.3096 0.6192
```

=====

# 3
Material: NbFeSe4
Method: DFT, PBE
State: optimized geometry

Computed properties:
E_form (uncorrected) ... -0.38 eV per atom
Electronic total energy ... -69.548 eV for the cell shown

Cell and atoms, written as POSCAR:
```
NbFeSe4
1.0
5.6909 0.5226 0.0000
-0.3776 5.8819 0.0000
-2.6566 -3.2022 7.0520
Nb Fe Se
2 2 8
direct
0.3009 0.5509 0.1019
0.6991 0.4491 0.8981
0.0547 0.8047 0.6095
0.9453 0.1953 0.3905
0.9968 0.2581 0.1198
0.6230 0.8617 0.1198
0.3208 0.4814 0.6047
0.6792 0.5186 0.3953
0.2161 0.8767 0.3953
0.3770 0.1383 0.8802
0.7839 0.1233 0.6047
0.0032 0.7419 0.8802
```

=====

# 4
Material: HoHfMn
Method: DFT, PBE
State: optimized geometry

Computed properties:
DFT formation energy ... 0.123 eV per atom
Electronic total energy ... -93.324 eV for the cell shown

Cell and atoms, written as POSCAR:
```
HoHfMn
1.0
-4.9452 2.8199 2.9816
2.3196 -5.7215 2.3331
4.5740 3.5708 4.2092
Mn Hf Ho
4 4 4
direct
0.5860 0.1720 0.5406
0.9140 0.8280 0.0406
0.4140 0.8280 0.4594
0.0860 0.1720 0.9594
0.2909 0.0818 0.2500
0.2091 0.9182 0.7500
0.7091 0.9182 0.7500
0.7909 0.0818 0.2500
0.8062 0.6124 0.3950
0.6938 0.3876 0.8950
0.1938 0.3876 0.6050
0.3062 0.6124 0.1050
```

=====

# 5
Material: Cd2SeCl
Method: DFT, PBE
State: optimized geometry

Computed properties:
E_form (uncorrected) ... -0.40 eV per atom
Electronic total energy ... -8.757 eV for the cell shown

Cell and atoms, written as POSCAR:
```
Cd2SeCl
1.0
3.7320 0.0000 0.0000
0.0000 3.7978 0.0045
0.0000 -0.0900 7.1067
Cd Cl Se
2 1 1
direct
0.0000 0.2165 0.9557
0.0000 0.2835 0.5443
0.5000 0.2500 0.2500
0.5000 0.7500 0.7500
```

=====

# 6
Material: LiPaPb2
Method: DFT, PBE
State: optimized geometry

Computed properties:
DFT formation energy ... -0.091 eV per atom
Electronic total energy ... -19.192 eV for the cell shown

Cell and atoms, written as POSCAR:
```
LiPaPb2
1.0
-0.4782 -0.5683 3.1339
-1.8145 -5.2618 -1.2310
5.3372 -1.9483 0.4610
Pb Pa Li
2 1 1
direct
0.0000 0.0000 0.5000
0.0000 0.5000 0.0000
0.5000 0.5000 0.5000
0.5000 0.0000 0.0000
```